A:
The following is a PBE-GGA calculation of a geometry-optimized CsThAg structure, from OQMD via LeMat-Bulk.

The structure in CIF format:
```
data_CsThAg
_chemical_formula_sum 'Cs1 Th1 Ag1'
_cell_length_a 5.170
_cell_length_b 5.170
_cell_length_c 5.170
_cell_angle_alpha 60.00
_cell_angle_beta 60.00
_cell_angle_gamma 60.00
_symmetry_space_group_name_H-M 'P 1'
_symmetry_Int_Tables_number 1
loop_
_symmetry_equiv_pos_as_xyz
'x,y,z'
loop_
_atom_site_label
_atom_site_fract_x
_atom_site_fract_y
_atom_site_fract_z
Cs1 0.000 0.000 0.000
Ag1 0.250 0.250 0.250
Th1 0.750 0.750 0.750
```

## Properties
Space group: No. 216
Magnetization in Bohr magnetons per cell: 0.002

B:
The following is a PBE-GGA calculation of a geometry-optimized CsThAg structure, from OQMD via LeMat-Bulk.

The structure in CIF format:
```
data_CsThAg
_chemical_formula_sum 'Cs1 Th1 Ag1'
_cell_length_a 5.451
_cell_length_b 5.451
_cell_length_c 5.451
_cell_angle_alpha 60.00
_cell_angle_beta 60.00
_cell_angle_gamma 60.00
_symmetry_space_group_name_H-M 'P 1'
_symmetry_Int_Tables_number 1
loop_
_symmetry_equiv_pos_as_xyz
'x,y,z'
loop_
_atom_site_label
_atom_site_fract_x
_atom_site_fract_y
_atom_site_fract_z
Ag1 0.000 0.000 0.000
Cs1 0.750 0.750 0.750
Th1 0.250 0.250 0.250
```

## Properties
Space group: No. 216
Magnetization in Bohr magnetons per cell: 1.283

Which structure is the least stable? The one labeled A.

A:
The following is a PBE-GGA calculation of a geometry-optimized CsTlAg structure, from OQMD via LeMat-Bulk.

The structure in CIF format:
```
data_CsTlAg
_chemical_formula_sum 'Cs1 Tl1 Ag1'
_cell_length_a 5.686
_cell_length_b 5.686
_cell_length_c 5.686
_cell_angle_alpha 60.00
_cell_angle_beta 60.00
_cell_angle_gamma 60.00
_symmetry_space_group_name_H-M 'P 1'
_symmetry_Int_Tables_number 1
loop_
_symmetry_equiv_pos_as_xyz
'x,y,z'
loop_
_atom_site_label
_atom_site_fract_x
_atom_site_fract_y
_atom_site_fract_z
Ag1 0.000 0.000 0.000
Tl1 0.750 0.750 0.750
Cs1 0.250 0.250 0.250
```

## Properties
Space group: No. 216

B:
The following is a PBE-GGA calculation of a geometry-optimized CsTlAg structure, from OQMD via LeMat-Bulk.

The structure in CIF format:
```
data_CsTlAg
_chemical_formula_sum 'Cs1 Tl1 Ag1'
_cell_length_a 5.956
_cell_length_b 5.956
_cell_length_c 5.956
_cell_angle_alpha 60.00
_cell_angle_beta 60.00
_cell_angle_gamma 60.00
_symmetry_space_group_name_H-M 'P 1'
_symmetry_Int_Tables_number 1
loop_
_symmetry_equiv_pos_as_xyz
'x,y,z'
loop_
_atom_site_label
_atom_site_fract_x
_atom_site_fract_y
_atom_site_fract_z
Tl1 0.750 0.750 0.750
Cs1 0.000 0.000 0.000
Ag1 0.250 0.250 0.250
```

## Properties
Space group: No. 216

C:
The following is a PBE-GGA calculation of a geometry-optimized CsTlAg structure, from OQMD via LeMat-Bulk.

The structure in CIF format:
```
data_CsTlAg
_chemical_formula_sum 'Cs2 Tl2 Ag2'
_cell_length_a 4.903
_cell_length_b 5.524
_cell_length_c 8.744
_cell_angle_alpha 84.71
_cell_angle_beta 89.96
_cell_angle_gamma 89.89
_symmetry_space_group_name_H-M 'P 1'
_symmetry_Int_Tables_number 1
loop_
_symmetry_equiv_pos_as_xyz
'x,y,z'
loop_
_atom_site_label
_atom_site_fract_x
_atom_site_fract_y
_atom_site_fract_z
Tl1 0.751 0.668 0.861
Tl2 0.249 0.332 0.139
Cs1 0.749 0.767 0.339
Cs2 0.251 0.233 0.661
Ag1 0.250 0.848 0.009
Ag2 0.750 0.152 0.991
```

## Properties
Space group: No. 2

Which structure is the least stable? The one labeled B.

A:
The following is a PBE-GGA calculation of a geometry-optimized Cu3Ag7 structure, from OQMD via LeMat-Bulk.

The structure in CIF format:
```
data_Cu3Ag7
_chemical_formula_sum 'Cu3 Ag7'
_cell_length_a 22.645
_cell_length_b 22.645
_cell_length_c 22.645
_cell_angle_alpha 7.29
_cell_angle_beta 7.29
_cell_angle_gamma 7.29
_symmetry_space_group_name_H-M 'P 1'
_symmetry_Int_Tables_number 1
loop_
_symmetry_equiv_pos_as_xyz
'x,y,z'
loop_
_atom_site_label
_atom_site_fract_x
_atom_site_fract_y
_atom_site_fract_z
Ag1 0.199 0.199 0.199
Ag2 0.901 0.901 0.901
Ag3 0.604 0.604 0.604
Ag4 0.306 0.306 0.306
Ag5 0.497 0.497 0.497
Ag6 0.398 0.398 0.398
Ag7 0.795 0.795 0.795
Cu1 0.699 0.699 0.699
Cu2 0.005 0.005 0.005
Cu3 0.096 0.096 0.096
```

## Properties
Space group: No. 160

B:
The following is a PBE-GGA calculation of a geometry-optimized Cu3Ag7 structure, from OQMD via LeMat-Bulk.

The structure in CIF format:
```
data_Cu3Ag7
_chemical_formula_sum 'Cu3 Ag7'
_cell_length_a 4.961
_cell_length_b 4.961
_cell_length_c 12.079
_cell_angle_alpha 99.91
_cell_angle_beta 99.91
_cell_angle_gamma 33.80
_symmetry_space_group_name_H-M 'P 1'
_symmetry_Int_Tables_number 1
loop_
_symmetry_equiv_pos_as_xyz
'x,y,z'
loop_
_atom_site_label
_atom_site_fract_x
_atom_site_fract_y
_atom_site_fract_z
Ag1 0.407 0.407 0.305
Ag2 0.205 0.205 0.894
Ag3 0.500 0.500 0.000
Ag4 0.304 0.304 0.601
Ag5 0.795 0.795 0.106
Ag6 0.696 0.696 0.399
Ag7 0.593 0.593 0.695
Cu1 0.098 0.098 0.200
Cu2 0.902 0.902 0.800
Cu3 0.000 0.000 0.500
```

## Properties
Space group: No. 12

C:
The following is a PBE-GGA calculation of a geometry-optimized Cu3Ag7 structure, from OQMD via LeMat-Bulk.

The structure in CIF format:
```
data_Cu3Ag7
_chemical_formula_sum 'Cu3 Ag7'
_cell_length_a 2.883
_cell_length_b 3.870
_cell_length_c 14.621
_cell_angle_alpha 90.00
_cell_angle_beta 90.00
_cell_angle_gamma 90.00
_symmetry_space_group_name_H-M 'P 1'
_symmetry_Int_Tables_number 1
loop_
_symmetry_equiv_pos_as_xyz
'x,y,z'
loop_
_atom_site_label
_atom_site_fract_x
_atom_site_fract_y
_atom_site_fract_z
Ag1 0.500 0.500 0.821
Ag2 0.500 0.500 0.392
Ag3 0.500 0.500 0.608
Ag4 0.000 0.000 0.285
Ag5 0.500 0.500 0.179
Ag6 0.000 0.000 0.715
Ag7 0.000 0.000 0.500
Cu1 0.500 0.500 0.000
Cu2 0.000 0.000 0.084
Cu3 0.000 0.000 0.916
```

## Properties
Space group: No. 47

D:
The following is a PBE-GGA calculation of a geometry-optimized Cu3Ag7 structure, from OQMD via LeMat-Bulk.

The structure in CIF format:
```
data_Cu3Ag7
_chemical_formula_sum 'Cu3 Ag7'
_cell_length_a 11.668
_cell_length_b 11.668
_cell_length_c 4.892
_cell_angle_alpha 93.99
_cell_angle_beta 93.99
_cell_angle_gamma 14.14
_symmetry_space_group_name_H-M 'P 1'
_symmetry_Int_Tables_number 1
loop_
_symmetry_equiv_pos_as_xyz
'x,y,z'
loop_
_atom_site_label
_atom_site_fract_x
_atom_site_fract_y
_atom_site_fract_z
Cu1 0.704 0.704 0.405
Cu2 0.500 0.500 0.000
Cu3 0.296 0.296 0.595
Ag1 0.000 0.000 0.500
Ag2 0.102 0.102 0.200
Ag3 0.898 0.898 0.800
Ag4 0.399 0.399 0.301
Ag5 0.798 0.798 0.109
Ag6 0.601 0.601 0.699
Ag7 0.202 0.202 0.891
```

## Properties
Space group: No. 12

Which structure is the least stable? The one labeled D.